# RbLuMo2O8, optimized geometry, DFT PBE+U
# V = 13.583 Å³ per atom
# DFT total energy = -340.70 eV per cell
data_RbLuMo2O8
_cell_length_a 10.840
_cell_length_b 10.349
_cell_length_c 7.697
_cell_angle_alpha 90.00
_cell_angle_beta 130.97
_cell_angle_gamma 90.00
_symmetry_space_group_name_H-M 'C 1 2/c 1'
_symmetry_Int_Tables_number 15
_symmetry_space_group_name_Hall '-C 2yc'
loop_
_atom_site_label
_atom_site_type_symbol
_atom_site_fract_x
_atom_site_fract_y
_atom_site_fract_z
_atom_site_occupancy
Rb1 Rb 0.000 0.195 0.250 1
Lu1 Lu 0.000 0.227 0.750 1
Mo1 Mo 0.196 0.499 0.234 1
O1 O 0.019 0.389 0.960 1
O2 O 0.133 0.087 0.703 1
O3 O 0.189 0.423 0.436 1
O4 O 0.214 0.154 0.115 1